(1)
# GGA-PBE Cu2AgCl, optimized geometry
data_Cu2AgCl
_chemical_formula_sum 'Cu4 Ag2 Cl2'
_space_group_name_H-M_alt 'C m m m'
_space_group_IT_number 65
_space_group_name_Hall '-C 2 2'
_cell_length_a 3.257
_cell_length_b 5.095
_cell_length_c 7.784
_cell_angle_alpha 90.00
_cell_angle_beta 90.00
_cell_angle_gamma 90.00
loop_
_atom_site_label
_atom_site_type_symbol
_atom_site_fract_x
_atom_site_fract_y
_atom_site_fract_z
_atom_site_occupancy
Cu1 Cu 0.000 0.000 0.237 1
Ag1 Ag 0.000 0.500 0.500 1
Cl1 Cl 0.000 0.500 0.000 1
# - energy above the most stable polymorph in this dataset (meV per atom) = 169
# - formation energy from raw total energies (eV/atom) = 0.15
# - DOS at the Fermi energy (states/eV/f.u.) = 0.9

(2)
# GGA-PBE Ti2SnPdBr, optimized geometry
data_Ti2SnPdBr
_chemical_formula_sum 'Ti2 Sn1 Pd1 Br1'
_space_group_name_H-M_alt 'P 4/m m m'
_space_group_IT_number 123
_space_group_name_Hall '-P 4 2'
_cell_length_a 5.253
_cell_length_b 5.253
_cell_length_c 5.385
_cell_angle_alpha 90.00
_cell_angle_beta 90.00
_cell_angle_gamma 90.00
loop_
_atom_site_label
_atom_site_type_symbol
_atom_site_fract_x
_atom_site_fract_y
_atom_site_fract_z
_atom_site_occupancy
Ti1 Ti 0.000 0.500 0.000 1
Sn1 Sn 0.000 0.000 0.000 1
Pd1 Pd 0.500 0.500 0.500 1
Br1 Br 0.000 0.000 0.500 1
# - formation energy from raw total energies (eV/atom) = 1.16
# - DOS at the Fermi energy (states/eV/f.u.) = 8.4

(3)
# GGA-PBE CoNiAsSe2, optimized geometry
data_CoNiAsSe2
_chemical_formula_sum 'Co1 Ni1 As1 Se2'
_space_group_name_H-M_alt 'P 4/m m m'
_space_group_IT_number 123
_space_group_name_Hall '-P 4 2'
_cell_length_a 4.757
_cell_length_b 4.757
_cell_length_c 4.310
_cell_angle_alpha 90.00
_cell_angle_beta 90.00
_cell_angle_gamma 90.00
loop_
_atom_site_label
_atom_site_type_symbol
_atom_site_fract_x
_atom_site_fract_y
_atom_site_fract_z
_atom_site_occupancy
Co1 Co 0.000 0.000 0.000 1
Ni1 Ni 0.500 0.500 0.500 1
As1 As 0.000 0.000 0.500 1
Se1 Se 0.000 0.500 0.000 1
# - energy above the most stable polymorph in this dataset (meV per atom) = 0
# - formation energy from raw total energies (eV/atom) = 0.66
# - DOS at the Fermi energy (states/eV/f.u.) = 5.5